Below is crystalline ZnSe2Br at its relaxed geometry, with properties calculated at the GGA-PBE level.

Unit cell a=3.9380 b=4.8251 c=6.2228 alpha=57.34 beta=90.00 gamma=90.00
With the nearest neighbours (Å) after each atom.
Fractional coordinates of all 4 atoms:
Se (0.0000, 0.4683, 0.3963)  1 Se 2.32
Se (0.0000, 0.0317, 0.1037)  1 Se 2.32
Zn (0.5000, 0.2500, 0.2500)  4 Se 2.62, 2 Br 2.72
Br (0.5000, 0.7500, 0.7500)  2 Zn 2.72

E above lowest polymorph   9 meV/atom
Symmetry   P2/m (10)
Magnetization   0.000 μB per atom
N(E_F)   0.4288 states/eV/atom

Below is crystalline LiIn4As at its relaxed geometry, with properties calculated at the GGA-PBE level.

Unit cell a=6.1055 b=6.1055 c=6.1055 alpha=60.00 beta=60.00 gamma=60.00
With the nearest neighbours (Å) after each atom.
Fractional coordinates of all 6 atoms:
As (0.0000, 0.0000, 0.0000)  12 In 3.58, 4 Li 3.74
In (0.3748, 0.3748, 0.8757)  6 In 3.05-3.06
In (0.8757, 0.3748, 0.3748)  6 In 3.05-3.06
In (0.3748, 0.8757, 0.3748)  6 In 3.05-3.06
In (0.3748, 0.3748, 0.3748)  6 In 3.05-3.06
Li (0.7500, 0.7500, 0.7500)  12 In 3.58, 4 As 3.74

Symmetry   F-43m (216)
Magnetization   0.000 μB per atom
Energy of formation from the pure elements   186 meV per atom
N(E_F)   0.7028 states/eV/atom

Below is crystalline KRb3Np2Te6 at its relaxed geometry, with properties calculated at the GGA-PBE level.

Unit cell a=4.6352 b=10.2484 c=11.0417 alpha=106.59 beta=102.12 gamma=90.00
With the nearest neighbours (Å) after each atom.
Fractional coordinates of all 12 atoms:
Te (0.3210, 0.4509, 0.6420)  3 Np 3.13-3.15
Te (0.6736, 0.1394, 0.3472)  2 Np 3.09
Te (0.9721, 0.7381, 0.9442)  1 Np 2.94
Te (0.6790, 0.5491, 0.3580)  3 Np 3.13-3.15
Te (0.0279, 0.2619, 0.0558)  1 Np 2.94
Te (0.3264, 0.8606, 0.6528)  2 Np 3.09
Rb (0.1548, 0.8370, 0.3097)  6 Te 3.64-3.90
Rb (0.8452, 0.1630, 0.6903)  6 Te 3.64-3.90
Rb (0.5000, 0.5000, 0.0000)  6 Te 3.54-3.75
Np (0.8300, 0.6633, 0.6600)  6 Te 2.94-3.15
Np (0.1700, 0.3367, 0.3400)  6 Te 2.94-3.15
K (0.5000, 0.0000, 0.0000)  6 Te 3.46-3.60

Symmetry   C2/m (12)
Magnetization   0.500 μB per atom
Uncorrected energy   -4.945 eV per atom
N(E_F)   1.3026 states/eV/atom

Below is crystalline LaPrNdTh2 at its relaxed geometry, with properties calculated at the GGA-PBE level.

Unit cell a=6.7678 b=6.7451 c=8.6900 alpha=112.84 beta=90.00 gamma=90.00
With the nearest neighbours (Å) after each atom.
Fractional coordinates of all 10 atoms:
Nd (0.2500, 0.2152, 0.4305)  2 Pr 3.53, 2 La 3.54
Nd (0.7500, 0.7848, 0.5695)  2 Pr 3.53, 2 La 3.54
Th (0.5000, 0.7534, 0.0000)  4 Th 3.33-3.42, 2 La 3.38, 2 Pr 3.41
Th (0.5000, 0.2466, 0.0000)  4 Th 3.33-3.42, 2 La 3.38, 2 Pr 3.41
Th (0.0000, 0.2466, 0.0000)  4 Th 3.33-3.42, 2 La 3.38, 2 Pr 3.41
Th (0.0000, 0.7534, 0.0000)  4 Th 3.33-3.42, 2 La 3.38, 2 Pr 3.41
La (0.7500, 0.3519, 0.7037)  1 Pr 3.18, 4 Th 3.38, 2 Nd 3.54
La (0.2500, 0.6481, 0.2963)  1 Pr 3.18, 4 Th 3.38, 2 Nd 3.54
Pr (0.7500, 0.1533, 0.3066)  1 La 3.18, 4 Th 3.41, 2 Nd 3.53
Pr (0.2500, 0.8467, 0.6934)  1 La 3.18, 4 Th 3.41, 2 Nd 3.53

Symmetry   Cmcm (63)
Magnetization   0.000 μB per atom
Energy of formation from the pure elements   358 meV per atom
N(E_F)   1.3847 states/eV/atom

Below is crystalline Hf3Zr2Pa2 at its relaxed geometry, with properties calculated at the GGA-PBE level.

Unit cell a=3.1344 b=9.6569 c=7.5608 alpha=80.09 beta=51.57 gamma=71.07
With the nearest neighbours (Å) after each atom.
Fractional coordinates of all 7 atoms:
Pa (0.9436, 0.8681, 0.4588)  4 Pa 2.90-3.13, 2 Zr 3.14-3.15, 2 Hf 3.17
Pa (0.0564, 0.1318, 0.5412)  4 Pa 2.90-3.13, 2 Zr 3.14-3.15, 2 Hf 3.17
Zr (0.1632, 0.6579, 0.1186)  3 Zr 3.13-3.16, 2 Pa 3.14-3.15, 6 Hf 3.15-3.28
Zr (0.8368, 0.3421, 0.8814)  3 Zr 3.13-3.16, 2 Pa 3.14-3.15, 6 Hf 3.15-3.28
Hf (0.5952, 0.3985, 0.3376)  4 Hf 3.05-3.13, 5 Zr 3.15-3.28, 2 Pa 3.17
Hf (0.4048, 0.6016, 0.6624)  4 Hf 3.05-3.13, 5 Zr 3.15-3.28, 2 Pa 3.17
Hf (0.0000, 0.0000, 0.0000)  2 Hf 3.13, 2 Zr 3.23, 6 Pa 3.38-3.40

Symmetry   P-1 (2)
Magnetization   0.000 μB per atom
Energy of formation from the pure elements   241 meV per atom
N(E_F)   1.4056 states/eV/atom

Below is crystalline Dy4SiTeS2 at its relaxed geometry, with properties calculated at the GGA-PBE level.

Unit cell a=4.0673 b=7.0040 c=7.1964 alpha=70.66 beta=90.00 gamma=90.00
With the nearest neighbours (Å) after each atom.
Fractional coordinates of all 8 atoms:
S (0.5000, 0.0000, 0.5000)  6 Dy 2.75-2.78
S (0.0000, 0.0000, 0.0000)  6 Dy 2.93-2.97
Te (0.5000, 0.5000, 0.0000)  6 Dy 3.02-3.04
Dy (0.0000, 0.7694, 0.7197)  3 S 2.75-2.97, 1 Si 2.83, 2 Te 3.04
Dy (0.0000, 0.2306, 0.2803)  3 S 2.75-2.97, 1 Si 2.83, 2 Te 3.04
Dy (0.5000, 0.2453, 0.7344)  3 S 2.78-2.93, 2 Si 2.86, 1 Te 3.02
Dy (0.5000, 0.7547, 0.2656)  3 S 2.78-2.93, 2 Si 2.86, 1 Te 3.02
Si (0.0000, 0.5000, 0.5000)  6 Dy 2.83-2.86

Symmetry   P2/m (10)
Magnetization   0.000 μB per atom
Uncorrected energy   -5.928 eV per atom
N(E_F)   0.3346 states/eV/atom

Below is crystalline PrPS4Cl at its relaxed geometry, with properties calculated at the GGA-PBE level.

Unit cell a=8.1248 b=8.1248 c=7.0784 alpha=75.96 beta=75.96 gamma=66.72
With the nearest neighbours (Å) after each atom.
Fractional coordinates of all 14 atoms:
S (0.4982, 0.4982, 0.1496)  1 P 2.09, 1 S 2.10
S (0.9053, 0.5547, 0.8291)  1 P 2.07
S (0.5547, 0.9053, 0.8291)  1 P 2.07
S (0.4453, 0.0947, 0.1709)  1 P 2.07
S (0.0947, 0.4453, 0.1709)  1 P 2.07
S (0.6595, 0.6595, 0.4443)  1 P 1.98
S (0.3405, 0.3405, 0.5557)  1 P 1.98
S (0.5018, 0.5018, 0.8504)  1 P 2.09, 1 S 2.10
Pr (0.8298, 0.8298, 0.0686)  2 Cl 2.79-2.80, 5 S 2.91-3.04
Pr (0.1702, 0.1702, 0.9314)  2 Cl 2.79-2.80, 5 S 2.91-3.04
P (0.3384, 0.3384, 0.2766)  4 S 1.98-2.09
P (0.6616, 0.6616, 0.7234)  4 S 1.98-2.09
Cl (0.0113, 0.0113, 0.7544)  2 Pr 2.79-2.80
Cl (0.9887, 0.9887, 0.2456)  2 Pr 2.79-2.80

Symmetry   C2/m (12)
Magnetization   0.000 μB per atom
Uncorrected energy   -5.046 eV per atom
N(E_F)   0.0000 states/eV/atom

Below is crystalline Pm2TiAs4Pd3 at its relaxed geometry, with properties calculated at the GGA-PBE level.

Unit cell a=4.3135 b=4.3135 c=10.6224 alpha=90.00 beta=90.00 gamma=90.00
With the nearest neighbours (Å) after each atom.
Fractional coordinates of all 10 atoms:
Pm (0.0000, 0.5000, 0.7649)  6 Pd 3.24-3.55, 8 As 3.30-3.34, 2 Ti 3.55
Pm (0.5000, 0.0000, 0.2351)  6 Pd 3.24-3.55, 8 As 3.30-3.34, 2 Ti 3.55
Pd (0.5000, 0.0000, 0.8681)  5 As 2.47-2.57
Pd (0.0000, 0.0000, 0.5000)  4 As 2.60
Pd (0.0000, 0.5000, 0.1319)  5 As 2.47-2.57
As (0.5000, 0.0000, 0.6360)  3 Pd 2.47-2.60, 2 Ti 2.60
As (0.0000, 0.5000, 0.3640)  3 Pd 2.47-2.60, 2 Ti 2.60
As (0.0000, 0.0000, 0.0000)  4 Pd 2.57
As (0.5000, 0.5000, 0.0000)  4 Pd 2.57
Ti (0.5000, 0.5000, 0.5000)  4 As 2.60

Symmetry   P-4m2 (115)
Magnetization   0.097 μB per atom
Energy of formation from the pure elements   -867 meV per atom
N(E_F)   0.5930 states/eV/atom

- What is the formula in the first record?
  ZnSe2Br

Copy entry 5 word for word.
Below is crystalline Hf3Zr2Pa2 at its relaxed geometry, with properties calculated at the GGA-PBE level.

Unit cell a=3.1344 b=9.6569 c=7.5608 alpha=80.09 beta=51.57 gamma=71.07
With the nearest neighbours (Å) after each atom.
Fractional coordinates of all 7 atoms:
Pa (0.9436, 0.8681, 0.4588)  4 Pa 2.90-3.13, 2 Zr 3.14-3.15, 2 Hf 3.17
Pa (0.0564, 0.1318, 0.5412)  4 Pa 2.90-3.13, 2 Zr 3.14-3.15, 2 Hf 3.17
Zr (0.1632, 0.6579, 0.1186)  3 Zr 3.13-3.16, 2 Pa 3.14-3.15, 6 Hf 3.15-3.28
Zr (0.8368, 0.3421, 0.8814)  3 Zr 3.13-3.16, 2 Pa 3.14-3.15, 6 Hf 3.15-3.28
Hf (0.5952, 0.3985, 0.3376)  4 Hf 3.05-3.13, 5 Zr 3.15-3.28, 2 Pa 3.17
Hf (0.4048, 0.6016, 0.6624)  4 Hf 3.05-3.13, 5 Zr 3.15-3.28, 2 Pa 3.17
Hf (0.0000, 0.0000, 0.0000)  2 Hf 3.13, 2 Zr 3.23, 6 Pa 3.38-3.40

Symmetry   P-1 (2)
Magnetization   0.000 μB per atom
Energy of formation from the pure elements   241 meV per atom
N(E_F)   1.4056 states/eV/atom

- Among the records above, which one has the lowest N(E_F)?
  PrPS4Cl

- magnetization of number 4 (LaPrNdTh2)?
  0.000 μB per atom